# 1
Compound: TbSc3Sb3
Source: Alexandria via LeMat-Bulk
Functional: PBE
Structure: optimized geometry

The calculation puts the raw formation energy at -76.7 kJ/mol of atoms. For the magnetization, the calculation gives 0.0 μB/cell. As for the calculated total energy: -5.936 eV per atom.

Cell lengths 7.7267, 7.7267, 7.7267 Å; angles 68.12, 68.12, 68.12 degrees
Fractional coordinates of all 14 atoms:
Tb (0.1652, 0.1652, 0.1652)
Tb (0.8348, 0.8348, 0.8348)
Sc (0.1542, 0.4191, 0.6851)
Sc (0.3149, 0.8458, 0.5809)
Sc (0.4191, 0.6851, 0.1542)
Sc (0.5809, 0.3149, 0.8458)
Sc (0.6851, 0.1542, 0.4191)
Sc (0.8458, 0.5809, 0.3149)
Sb (0.0334, 0.7910, 0.4169)
Sb (0.2090, 0.5831, 0.9666)
Sb (0.4169, 0.0334, 0.7910)
Sb (0.5831, 0.9666, 0.2090)
Sb (0.7910, 0.4169, 0.0334)
Sb (0.9666, 0.2090, 0.5831)

---

# 2
Compound: Tb3ScSb2
Source: Alexandria via LeMat-Bulk
Functional: PBE
Structure: optimized geometry

The calculation puts the raw formation energy at -79.7 kJ/mol of atoms. For the magnetization, the calculation gives 0.0 μB/cell. As for the calculated total energy: -5.571 eV per atom.

Cell lengths 9.4837, 9.4837, 9.4837 Å; angles 141.45, 55.55, 141.60 degrees
Fractional coordinates of all 12 atoms:
Tb (0.1750, 0.2488, 0.4238)
Tb (0.2500, 0.2500, 0.0000)
Tb (0.3250, 0.7488, 0.0738)
Tb (0.6750, 0.2512, 0.9262)
Tb (0.7500, 0.7500, 0.0000)
Tb (0.8250, 0.7512, 0.5762)
Sc (0.2500, 0.7500, 0.5000)
Sc (0.7500, 0.2500, 0.5000)
Sb (0.1367, 0.7431, 0.8798)
Sb (0.3633, 0.2431, 0.6064)
Sb (0.6367, 0.7569, 0.3936)
Sb (0.8633, 0.2569, 0.1202)

---

# 3
Compound: Tb5Sc3Sb8
Source: Alexandria via LeMat-Bulk
Functional: PBE
Structure: optimized geometry

The calculation puts the raw formation energy at -101.9 kJ/mol of atoms. For the magnetization, the calculation gives 0.0 μB/cell. As for the calculated total energy: -5.751 eV per atom.

Cell lengths 8.6296, 8.6296, 8.6296 Å; angles 60.07, 60.07, 60.07 degrees
Fractional coordinates of all 16 atoms:
Tb (0.0000, 0.0000, 0.0000)
Tb (0.0000, 0.5000, 0.5000)
Tb (0.5000, 0.0000, 0.5000)
Tb (0.5000, 0.5000, 0.0000)
Tb (0.5000, 0.5000, 0.5000)
Sc (0.0000, 0.0000, 0.5000)
Sc (0.0000, 0.5000, 0.0000)
Sc (0.5000, 0.0000, 0.0000)
Sb (0.2394, 0.7500, 0.7500)
Sb (0.2447, 0.2447, 0.2447)
Sb (0.2500, 0.2500, 0.7606)
Sb (0.2500, 0.7606, 0.2500)
Sb (0.7500, 0.2394, 0.7500)
Sb (0.7500, 0.7500, 0.2394)
Sb (0.7553, 0.7553, 0.7553)
Sb (0.7606, 0.2500, 0.2500)

---

# 4
Compound: Tb5ScSb4
Source: Alexandria via LeMat-Bulk
Functional: PBE
Structure: optimized geometry

The calculation puts the raw formation energy at -69.1 kJ/mol of atoms. For the magnetization, the calculation gives 0.0 μB/cell. As for the calculated total energy: -5.313 eV per atom.

Cell lengths 9.4924, 9.4924, 8.3213 Å; angles 104.84, 104.84, 25.93 degrees
Fractional coordinates of all 10 atoms:
Tb (0.0000, 0.0000, 0.0000)
Tb (0.3240, 0.3240, 0.1484)
Tb (0.3338, 0.3338, 0.6799)
Tb (0.6662, 0.6662, 0.3201)
Tb (0.6760, 0.6760, 0.8516)
Sc (0.0000, 0.0000, 0.5000)
Sb (0.1644, 0.1644, 0.5828)
Sb (0.4948, 0.4948, 0.2551)
Sb (0.5052, 0.5052, 0.7449)
Sb (0.8356, 0.8356, 0.4172)

---

# 5
Compound: Tb2ScSb
Source: Alexandria via LeMat-Bulk
Functional: PBE
Structure: optimized geometry

The energy above the most stable polymorph in this dataset comes out at 0.0000 eV per atom. The calculation puts the raw formation energy at -49.7 kJ/mol of atoms. For the magnetization, the calculation gives 0.0 μB/cell. As for the calculated total energy: -5.444 eV per atom.

Cell lengths 4.0875, 4.0875, 6.4964 Å; angles 90.00, 90.00, 90.00 degrees
Fractional coordinates of all 4 atoms:
Tb (0.0000, 0.0000, 0.2418)
Tb (0.0000, 0.0000, 0.7582)
Sc (0.5000, 0.5000, 0.5000)
Sb (0.5000, 0.5000, 0.0000)

---

# 6
Compound: TbScSb2
Source: Alexandria via LeMat-Bulk
Functional: PBE
Structure: optimized geometry

The energy above the most stable polymorph in this dataset comes out at 0.0923 eV per atom. The calculation puts the raw formation energy at -91.0 kJ/mol of atoms. For the magnetization, the calculation gives 0.0 μB/cell. As for the calculated total energy: -5.745 eV per atom.

Cell lengths 4.2626, 4.2626, 21.5935 Å; angles 90.00, 90.00, 120.00 degrees
Fractional coordinates of all 12 atoms:
Tb (0.0000, 0.0000, 0.0000)
Tb (0.3333, 0.6667, 0.6667)
Tb (0.6667, 0.3333, 0.3333)
Sc (0.0000, 0.0000, 0.1708)
Sc (0.3333, 0.6667, 0.8374)
Sc (0.6667, 0.3333, 0.5041)
Sb (0.0000, 0.0000, 0.5784)
Sb (0.0000, 0.0000, 0.7584)
Sb (0.3333, 0.6667, 0.2450)
Sb (0.3333, 0.6667, 0.4250)
Sb (0.6667, 0.3333, 0.0917)
Sb (0.6667, 0.3333, 0.9117)